# 1
Material: RbNpI6
Method: DFT, GGA-PBE
State: optimized geometry

abc: 9.0475 12.7921 7.5851
angles: 90.00 106.57 90.00
Closest atoms and distances in Å follow each position.
Space group C2/m (No. 12)
Asymmetric unit:
Rb 0.0000 0.0000 0.0000 x2  6 I 3.82-3.88
Np 0.0000 0.5000 0.5000 x2  6 I 2.93-2.94
I 0.1434 0.3371 0.7670 x8  1 Np 2.94
I 0.2296 0.0000 0.6390 x4  1 Np 2.93

Values from the calculation:
The value obtained for the magnetization is 2.0 μB per formula unit. For the raw formation energy, the calculation gives -0.851 eV/atom. The density of states at the Fermi level comes out at 15.93 states/eV per cell. For the volume, the calculation gives 52.59 A^3/atom.

***

# 2
Material: CrInHg
Method: DFT, GGA-PBE
State: optimized geometry

abc: 5.0441 5.4660 5.5928
angles: 61.55 80.08 69.11
Closest atoms and distances in Å follow each position.
Space group P1 (No. 1)
Asymmetric unit:
Cr 0.0000 0.0000 0.0000 x1  4 Hg 2.96-2.98, 5 In 2.99-3.29, 3 Cr 3.15-3.26
Cr 0.0010 0.6738 0.6405 x1  4 In 2.97-3.16, 4 Hg 2.97-2.99, 3 Cr 3.15-3.26
In 0.0003 0.3307 0.3311 x1  4 Hg 2.99-3.04, 5 Cr 3.10-3.29, 2 In 3.11-3.12
In 0.4993 0.5187 0.9589 x1  4 Cr 2.97-2.99, 5 Hg 3.06-3.28, 2 In 3.11-3.12
Hg 0.5010 0.8379 0.3173 x1  4 Cr 2.96-2.99, 5 In 2.99-3.28, 3 Hg 3.15-3.28
Hg 0.5016 0.1564 0.6774 x1  4 Cr 2.98-2.99, 4 In 3.04-3.07, 3 Hg 3.15-3.28

Values from the calculation:
The value obtained for the magnetization is 3.9 μB per formula unit. Its energy of formation is 0.394 eV/atom. The density of states at the Fermi level comes out at 2.91 states/eV per cell. For the volume, the calculation gives 21.11 A^3/atom.

***

# 3
Material: LiAg3O
Method: DFT, GGA-PBE
State: optimized geometry

abc: 4.4461 4.4461 4.4461
angles: 90.00 90.00 90.00
Closest atoms and distances in Å follow each position.
Space group Pm-3m (No. 221)
Asymmetric unit:
Li 0.0000 0.0000 0.0000 x1  6 Ag 2.22
Ag 0.0000 0.0000 0.5000 x3  2 Li 2.22
O 0.5000 0.5000 0.5000 x1  12 Ag 3.14

Values from the calculation:
The value obtained for the magnetization is 0.0 μB per formula unit. For the raw formation energy, the calculation gives 0.758 eV/atom. The density of states at the Fermi level comes out at 0.28 states/eV per cell. For the volume, the calculation gives 17.58 A^3/atom.

***

# 4
Material: Rb2In5Bi3
Method: DFT, GGA-PBE
State: optimized geometry

abc: 17.4316 12.1882 7.7199
angles: 90.00 115.99 90.00
Closest atoms and distances in Å follow each position.
Space group C2/c (No. 15)
Asymmetric unit:
Rb 0.1229 0.2498 0.1232 x8  11 In 4.08-4.47, 6 Bi 4.08-4.19
In 0.0000 0.0002 0.2500 x4  4 Bi 3.20-3.21
In 0.1303 0.3840 0.6306 x8  2 In 3.03, 3 Bi 3.09-3.15
In 0.2489 0.4991 0.9994 x8  2 In 3.03, 2 Bi 3.16
Bi 0.0000 0.4995 0.2500 x4  4 In 3.14-3.15
Bi 0.1280 0.1302 0.6272 x8  5 In 3.09-3.21

Values from the calculation:
The value obtained for the magnetization is 0.0 μB per formula unit. Its energy of formation is -0.155 eV/atom. The density of states at the Fermi level comes out at 22.45 states/eV per cell. For the volume, the calculation gives 36.86 A^3/atom.

***

# 5
Material: Sb2Pd3S
Method: DFT, GGA-PBE
State: optimized geometry

abc: 11.7437 5.4266 7.4817
angles: 90.00 108.42 90.00
Closest atoms and distances in Å follow each position.
Space group C2/c (No. 15)
Asymmetric unit:
Sb 0.1813 0.0072 0.0934 x8  6 Pd 2.73-2.94
Pd 0.0000 0.1763 0.2500 x4  1 S 2.54
Pd 0.1370 0.4977 0.5676 x8  2 S 2.54, 4 Sb 2.73-2.78
S 0.0000 0.3551 0.7500 x4  5 Pd 2.54

Values from the calculation:
The value obtained for the magnetization is 0.0 μB per formula unit. For the raw formation energy, the calculation gives -0.272 eV/atom. The density of states at the Fermi level comes out at 9.87 states/eV per cell. For the volume, the calculation gives 18.85 A^3/atom.

***

# 6
Material: Ti3Te3As
Method: DFT, GGA-PBE
State: optimized geometry

abc: 10.8355 10.8355 10.8355
angles: 90.00 90.00 90.00
Closest atoms and distances in Å follow each position.
Space group I4_132 (No. 214)
Asymmetric unit:
Ti 0.1087 0.3587 0.1250 x24  2 As 2.54, 2 Te 2.78
Te 0.1195 0.1305 0.6250 x24  4 Ti 2.78-2.90
As 0.1250 0.1250 0.1250 x8  6 Ti 2.54

Values from the calculation:
The value obtained for the magnetization is 0.0 μB per formula unit. For the raw formation energy, the calculation gives -0.745 eV/atom. The density of states at the Fermi level comes out at 23.08 states/eV per cell. For the volume, the calculation gives 22.72 A^3/atom.

***

# 7
Material: AgHg12Pb16
Method: DFT, GGA-PBE
State: optimized geometry

abc: 11.8482 16.1443 10.3988
angles: 90.00 124.22 90.00
Closest atoms and distances in Å follow each position.
Space group Cm (No. 8)
Asymmetric unit:
Ag 0.0000 0.0000 0.0000 x2  3 Hg 3.08-3.14, 7 Pb 3.19-3.37
Hg 0.0368 0.4041 0.9553 x4  3 Hg 3.02-3.10, 2 Pb 3.29-3.35
Hg 0.1463 0.2912 0.5106 x4  3 Hg 3.10-3.15, 4 Pb 3.21-3.43
Hg 0.3086 0.5000 0.1124 x2  1 Ag 3.08, 3 Hg 3.09-3.31, 4 Pb 3.25-3.29
Hg 0.3805 0.0991 0.3479 x4  3 Hg 3.14-3.20, 7 Pb 3.23-3.52
Hg 0.4023 0.4042 0.6917 x4  3 Hg 3.09-3.18, 1 Ag 3.14, 5 Pb 3.24-3.44
Hg 0.4684 0.1922 0.1518 x4  3 Hg 3.02-3.14, 1 Pb 3.19
Hg 0.4932 0.5000 0.4968 x2  3 Hg 3.18-3.31, 8 Pb 3.27-3.56
Pb 0.0857 0.1145 0.2975 x4  5 Hg 3.24-3.43, 1 Ag 3.24, 4 Pb 3.42-3.59
Pb 0.1289 0.1856 0.0160 x4  4 Hg 3.24-3.54, 1 Ag 3.32, 6 Pb 3.44-3.61
Pb 0.1361 0.5000 0.3299 x2  4 Pb 3.46-3.57, 12 Hg 3.52-3.83
Pb 0.1416 0.5000 0.6662 x2  4 Hg 3.33-3.40, 4 Pb 3.38-3.46, 1 Ag 3.67
Pb 0.2031 0.1404 0.7418 x4  4 Hg 3.21-3.38, 4 Pb 3.41-3.53
Pb 0.2809 0.0000 0.0257 x2  1 Ag 3.19, 2 Hg 3.28, 4 Pb 3.41-3.47
Pb 0.2908 0.3379 0.9167 x4  4 Hg 3.19-3.44, 1 Ag 3.37, 4 Pb 3.40-3.55
Pb 0.3132 0.3280 0.3170 x4  7 Hg 3.36-3.76, 4 Pb 3.46-3.53
Pb 0.3302 0.0000 0.6067 x2  7 Pb 3.38-3.53, 5 Hg 3.40-3.48
Pb 0.4451 0.2061 0.6449 x4  5 Hg 3.23-3.37, 4 Pb 3.46-3.61

Values from the calculation:
The value obtained for the magnetization is 0.0 μB per formula unit. Its energy of formation is 0.044 eV/atom. The density of states at the Fermi level comes out at 23.73 states/eV per cell. For the volume, the calculation gives 28.36 A^3/atom.

***

# 8
Material: Cd2Ge2Sb
Method: DFT, GGA-PBE
State: optimized geometry

abc: 3.7863 3.7863 16.5033
angles: 90.00 90.00 90.00
Closest atoms and distances in Å follow each position.
Space group I4/mmm (No. 139)
Asymmetric unit:
Cd 0.0000 0.0000 0.1022 x4  4 Ge 3.09, 4 Sb 3.16, 1 Cd 3.37
Ge 0.0000 0.5000 0.2500 x4  4 Ge 2.68
Sb 0.0000 0.0000 0.5000 x2  8 Cd 3.16

Values from the calculation:
The value obtained for the magnetization is 0.0 μB per formula unit. For the raw formation energy, the calculation gives 0.220 eV/atom. The density of states at the Fermi level comes out at 5.82 states/eV per cell. For the volume, the calculation gives 23.66 A^3/atom.

***

# 9
Material: Hf2ScCoBi
Method: DFT, GGA-PBE
State: optimized geometry

abc: 4.9391 4.9391 5.2748
angles: 90.00 90.00 90.00
Closest atoms and distances in Å follow each position.
Space group P4/mmm (No. 123)
Asymmetric unit:
Hf 0.0000 0.5000 0.0000 x2  2 Sc 2.47
Sc 0.0000 0.0000 0.0000 x1  4 Hf 2.47, 2 Bi 2.64
Co 0.5000 0.5000 0.5000 x1  4 Bi 3.49, 8 Hf 3.61
Bi 0.0000 0.0000 0.5000 x1  2 Sc 2.64

Values from the calculation:
The value obtained for the magnetization is 0.0 μB per formula unit. Its energy of formation is 1.527 eV/atom. The density of states at the Fermi level comes out at 7.49 states/eV per cell. For the volume, the calculation gives 25.74 A^3/atom.

***

# 10
Material: KBe2Bi
Method: DFT, GGA-PBE
State: optimized geometry

abc: 8.1471 8.1471 7.0185
angles: 90.00 90.00 90.00
Closest atoms and distances in Å follow each position.
Space group I-42d (No. 122)
Asymmetric unit:
K 0.0000 0.0000 0.0000 x4  2 Bi 3.51, 8 Be 3.55-3.61
Be 0.1510 0.2500 0.6250 x8  2 Bi 2.54
Bi 0.0000 0.0000 0.5000 x4  4 Be 2.54

Values from the calculation:
The value obtained for the magnetization is 0.0 μB per formula unit. Its energy of formation is 0.816 eV/atom. The density of states at the Fermi level comes out at 6.03 states/eV per cell. For the volume, the calculation gives 29.12 A^3/atom.

***

# 11
Material: K2LiAs2S6
Method: DFT, GGA-PBE
State: optimized geometry

abc: 13.7367 6.3557 7.7317
angles: 90.00 112.55 90.00
Closest atoms and distances in Å follow each position.
Space group C2/m (No. 12)
Asymmetric unit:
K 0.2189 0.0000 0.2087 x4  7 S 3.34-3.41
Li 0.0000 0.0000 0.5000 x2  4 S 2.53
As 0.0186 0.5000 0.1747 x4  3 S 2.13-2.20
S 0.0705 0.2265 0.7911 x8  1 As 2.20
S 0.1850 0.5000 0.3230 x4  1 As 2.13

Values from the calculation:
The value obtained for the magnetization is 0.0 μB per formula unit. For the raw formation energy, the calculation gives -0.530 eV/atom. The density of states at the Fermi level comes out at 11.05 states/eV per cell. For the volume, the calculation gives 28.34 A^3/atom.

***

# 12
Material: SnSe2F
Method: DFT, GGA-PBE
State: optimized geometry

abc: 3.0682 3.0682 28.4928
angles: 90.00 90.00 120.00
Closest atoms and distances in Å follow each position.
Space group R-3m (No. 166, hexagonal axes)
Asymmetric unit:
Sn 0.0000 0.0000 0.0000 x3  2 Se 2.76, 6 Sn 3.07
Se 0.0000 0.0000 0.0970 x6  3 F 2.66, 1 Sn 2.76
F 0.0000 0.0000 0.5000 x3  6 Se 2.66

Values from the calculation:
The value obtained for the magnetization is 0.0 μB per formula unit. For the raw formation energy, the calculation gives -0.093 eV/atom. The density of states at the Fermi level comes out at 6.26 states/eV per cell. For the volume, the calculation gives 19.36 A^3/atom.

***

# 13
Material: Rb8Na2Au
Method: DFT, GGA-PBE
State: optimized geometry

abc: 24.2116 7.0320 9.1418
angles: 90.00 109.57 90.00
Closest atoms and distances in Å follow each position.
Space group C2/m (No. 12)
Asymmetric unit:
Rb 0.0146 0.0000 0.2915 x4  2 Au 4.07, 5 Rb 4.10-4.56, 1 Na 4.23
Rb 0.0887 0.5000 0.9044 x4  1 Au 3.60
Rb 0.1399 0.5000 0.4539 x4  1 Au 3.55
Rb 0.2112 0.0000 0.7863 x4  3 Na 4.24-4.43, 3 Rb 4.59-4.72
Na 0.1770 0.0000 0.2118 x4  9 Rb 4.23-4.56
Au 0.0000 0.5000 0.5000 x2  4 Rb 3.55-3.60

Values from the calculation:
The value obtained for the magnetization is 0.0 μB per formula unit. Its energy of formation is -0.029 eV/atom. The density of states at the Fermi level comes out at 13.01 states/eV per cell. For the volume, the calculation gives 66.66 A^3/atom.

***

# 14
Material: TbYSiPt
Method: DFT, GGA-PBE
State: optimized geometry

abc: 4.1868 4.0145 10.7271
angles: 90.00 90.00 90.00
Closest atoms and distances in Å follow each position.
Space group Amm2 (No. 38)
Asymmetric unit:
Tb 0.0000 0.0000 0.0000 x2  4 Si 2.99, 3 Pt 3.02-3.08
Y 0.5000 0.0000 0.7180 x2  4 Pt 2.98, 3 Si 3.05-3.06
Si 0.5000 0.0000 0.4335 x2  2 Pt 2.65
Pt 0.0000 0.0000 0.2818 x2  2 Si 2.65

Values from the calculation:
The value obtained for the magnetization is 0.0 μB per formula unit. For the raw formation energy, the calculation gives -1.034 eV/atom. The density of states at the Fermi level comes out at 6.57 states/eV per cell. For the volume, the calculation gives 22.54 A^3/atom.

***

# 15
Material: AcPmFe4
Method: DFT, GGA-PBE
State: optimized geometry

abc: 7.5307 7.5307 7.5307
angles: 90.00 90.00 90.00
Closest atoms and distances in Å follow each position.
Space group F-43m (No. 216)
Asymmetric unit:
Ac 0.0000 0.0000 0.0000 x4  12 Fe 3.12, 4 Pm 3.26
Pm 0.2500 0.2500 0.2500 x4  12 Fe 3.12, 4 Ac 3.26
Fe 0.1246 0.1246 0.6246 x16  6 Fe 2.65-2.67

Values from the calculation:
The value obtained for the magnetization is 8.0 μB per formula unit. Its energy of formation is 0.160 eV/atom. The density of states at the Fermi level comes out at 24.12 states/eV per cell. For the volume, the calculation gives 17.79 A^3/atom.